Material: Pm2NdSn
Method: DFT, GGA-PBE
State: relaxed

Results
size of the total moment	0.00	μB/f.u.
ΔE to the lowest computed polymorph	420.5	meV per atom
electronic total energy	-18.39	eV for the cell shown
formation energy	-0.03	eV per atom

a b c (Å): 3.5232 3.5232 12.3006
angles (deg): 81.77 81.77 60.00
Positions (direct):
Pm: 0.0948 0.0948 0.7155
Sn: 0.5000 0.5000 0.5000
Pm: 0.9052 0.9052 0.2845
Nd: 0.0000 0.0000 0.0000